# Cs2BaCd2, relaxed, DFT PBE
data_Cs2BaCd2
_chemical_formula_sum 'Cs4 Ba2 Cd4'
_symmetry_space_group_name_H-M 'P 4/m b m'
_symmetry_Int_Tables_number 127
_symmetry_space_group_name_Hall '-P 4 2ab'
_cell_length_a 10.816
_cell_length_b 10.816
_cell_length_c 4.284
_cell_angle_alpha 90.00
_cell_angle_beta 90.00
_cell_angle_gamma 90.00
loop_
_atom_site_label
_atom_site_type_symbol
_atom_site_fract_x
_atom_site_fract_y
_atom_site_fract_z
Cs1 Cs 0.127 0.373 0.000
Ba1 Ba 0.000 0.000 0.000
Cd1 Cd 0.177 0.677 0.500
# - relative energy among the computed polymorphs (meV per atom) = 135
# - E (eV/atom) = -0.978
# - calculated density (g/cm³) = 4.16
# - formation energy from the elements (eV/atom) = 0.1140

=====

# CsBa3Cd, relaxed, DFT PBE
data_CsBa3Cd
_chemical_formula_sum 'Cs1 Ba3 Cd1'
_symmetry_space_group_name_H-M 'P m -3 m'
_symmetry_Int_Tables_number 221
_symmetry_space_group_name_Hall '-P 4 2 3'
_cell_length_a 6.954
_cell_length_b 6.954
_cell_length_c 6.954
_cell_angle_alpha 90.00
_cell_angle_beta 90.00
_cell_angle_gamma 90.00
loop_
_atom_site_label
_atom_site_type_symbol
_atom_site_fract_x
_atom_site_fract_y
_atom_site_fract_z
Cs1 Cs 0.000 0.000 0.000
Ba1 Ba 0.000 0.500 0.500
Cd1 Cd 0.500 0.500 0.500
# - relative energy among the computed polymorphs (meV per atom) = 0
# - E (eV/atom) = -1.513
# - calculated density (g/cm³) = 3.25
# - formation energy from the elements (eV/atom) = -0.0060

=====

# CsBaCd3, relaxed, DFT PBE
data_CsBaCd3
_chemical_formula_sum 'Cs1 Ba1 Cd3'
_symmetry_space_group_name_H-M 'P m -3 m'
_symmetry_Int_Tables_number 221
_symmetry_space_group_name_Hall '-P 4 2 3'
_cell_length_a 6.676
_cell_length_b 6.676
_cell_length_c 6.676
_cell_angle_alpha 90.00
_cell_angle_beta 90.00
_cell_angle_gamma 90.00
loop_
_atom_site_label
_atom_site_type_symbol
_atom_site_fract_x
_atom_site_fract_y
_atom_site_fract_z
Cs1 Cs 0.000 0.000 0.000
Ba1 Ba 0.500 0.500 0.500
Cd1 Cd 0.000 0.500 0.500
# - relative energy among the computed polymorphs (meV per atom) = 397
# - E (eV/atom) = -0.890
# - calculated density (g/cm³) = 3.39
# - formation energy from the elements (eV/atom) = 0.2142

=====

# Cs2BaCd9, relaxed, DFT PBE
data_Cs2BaCd9
_chemical_formula_sum 'Cs6 Ba3 Cd27'
_symmetry_space_group_name_H-M 'R -3 m'
_symmetry_Int_Tables_number 166
_symmetry_space_group_name_Hall '-R 3 2"'
_cell_length_a 6.4575
_cell_length_b 6.4575
_cell_length_c 32.5981
_cell_angle_alpha 90.00
_cell_angle_beta 90.00
_cell_angle_gamma 120.00
loop_
_atom_site_label
_atom_site_type_symbol
_atom_site_fract_x
_atom_site_fract_y
_atom_site_fract_z
Cs1 Cs 0.0000 0.0000 0.1443
Ba1 Ba 0.0000 0.0000 0.0000
Cd1 Cd 0.0000 0.0000 0.3359
Cd2 Cd 0.0000 0.0000 0.5000
Cd3 Cd 0.0068 0.5034 0.9245
# - E (eV/atom) = -1.076
# - calculated density (g/cm³) = 5.99
# - formation energy from the elements (eV/atom) = -0.0874

=====

# Cs2BaCd6, relaxed, DFT PBE
data_Cs2BaCd6
_chemical_formula_sum 'Cs4 Ba2 Cd12'
_symmetry_space_group_name_H-M 'C m m m'
_symmetry_Int_Tables_number 65
_symmetry_space_group_name_Hall '-C 2 2'
_cell_length_a 9.148
_cell_length_b 15.918
_cell_length_c 4.784
_cell_angle_alpha 90.00
_cell_angle_beta 90.00
_cell_angle_gamma 90.00
loop_
_atom_site_label
_atom_site_type_symbol
_atom_site_fract_x
_atom_site_fract_y
_atom_site_fract_z
Cs1 Cs 0.000 0.167 0.000
Ba1 Ba 0.000 0.500 0.000
Cd1 Cd 0.165 0.335 0.500
Cd2 Cd 0.169 0.000 0.500
# - E (eV/atom) = -1.107
# - calculated density (g/cm³) = 5.14
# - formation energy from the elements (eV/atom) = -0.0937

=====

# Cs2BaCd2, relaxed, DFT PBE
data_Cs2BaCd2
_chemical_formula_sum 'Cs4 Ba2 Cd4'
_symmetry_space_group_name_H-M 'I 4/m m m'
_symmetry_Int_Tables_number 139
_symmetry_space_group_name_Hall '-I 4 2'
_cell_length_a 5.558
_cell_length_b 5.558
_cell_length_c 17.022
_cell_angle_alpha 90.00
_cell_angle_beta 90.00
_cell_angle_gamma 90.00
loop_
_atom_site_label
_atom_site_type_symbol
_atom_site_fract_x
_atom_site_fract_y
_atom_site_fract_z
Cs1 Cs 0.000 0.500 0.250
Ba1 Ba 0.000 0.000 0.000
Cd1 Cd 0.000 0.000 0.416
# - relative energy among the computed polymorphs (meV per atom) = 82
# - E (eV/atom) = -1.031
# - calculated density (g/cm³) = 3.97
# - formation energy from the elements (eV/atom) = 0.0613

=====

# CsBaCd17, relaxed, DFT PBE
data_CsBaCd17
_chemical_formula_sum 'Cs3 Ba3 Cd51'
_symmetry_space_group_name_H-M 'R 3 m'
_symmetry_Int_Tables_number 160
_symmetry_space_group_name_Hall 'R 3 -2"'
_cell_length_a 10.5126
_cell_length_b 10.5126
_cell_length_c 15.3942
_cell_angle_alpha 90.00
_cell_angle_beta 90.00
_cell_angle_gamma 120.00
loop_
_atom_site_label
_atom_site_type_symbol
_atom_site_fract_x
_atom_site_fract_y
_atom_site_fract_z
Cs1 Cs 0.0000 0.0000 0.0000
Ba1 Ba 0.0000 0.0000 0.6795
Cd1 Cd 0.0000 0.0000 0.2441
Cd2 Cd 0.0000 0.0000 0.4417
Cd3 Cd 0.0003 0.5002 0.1903
Cd4 Cd 0.0006 0.2929 0.3416
Cd5 Cd 0.0013 0.5007 0.8415
Cd6 Cd 0.0078 0.5039 0.4923
# - E (eV/atom) = -1.073
# - calculated density (g/cm³) = 7.37
# - formation energy from the elements (eV/atom) = -0.1079

=====

# Cs2BaCd2, relaxed, DFT PBE
data_Cs2BaCd2
_chemical_formula_sum 'Cs4 Ba2 Cd4'
_symmetry_space_group_name_H-M 'P 4/m b m'
_symmetry_Int_Tables_number 127
_symmetry_space_group_name_Hall '-P 4 2ab'
_cell_length_a 9.251
_cell_length_b 9.251
_cell_length_c 6.354
_cell_angle_alpha 90.00
_cell_angle_beta 90.00
_cell_angle_gamma 90.00
loop_
_atom_site_label
_atom_site_type_symbol
_atom_site_fract_x
_atom_site_fract_y
_atom_site_fract_z
Cs1 Cs 0.172 0.328 0.000
Ba1 Ba 0.000 0.000 0.500
Cd1 Cd 0.116 0.616 0.500
# - relative energy among the computed polymorphs (meV per atom) = 0
# - E (eV/atom) = -1.113
# - calculated density (g/cm³) = 3.84
# - formation energy from the elements (eV/atom) = -0.0206